(1)
Li4CdO3: optimized geometry, PBE.

Computed properties:
For the formation energy without anion corrections, the calculation gives -1.5833 eV per atom. The density of states at the Fermi level is 0.00 states/eV/f.u. Its space-group type is Cc.

Cell and atoms, written as POSCAR:
```
Li4CdO3
1.0
4.8950 0.0000 0.0000
-2.4475 5.1761 -1.7767
0.0000 0.0336 6.9850
O Li Cd
6 8 2
direct
0.2982 0.5911 0.5945
0.6747 0.3497 0.3349
0.6750 0.3497 0.8349
0.2929 0.5911 0.0945
0.0015 0.9453 0.9418
0.9438 0.9453 0.4418
0.0897 0.6093 0.8374
0.9562 0.2606 0.4437
0.5196 0.6093 0.3374
0.0212 0.6830 0.4855
0.3044 0.2606 0.9437
0.4907 0.3676 0.5952
0.6617 0.6830 0.9855
0.8769 0.3676 0.0952
0.2840 0.9732 0.2168
0.6891 0.9732 0.7168
```

(2)
Th2ZnTc: optimized geometry, PBE.

Computed properties:
The density of states at the Fermi level is 3.44 states/eV/f.u. The value obtained for the distance to the lowest polymorph of the same formula is 0.098 eV per atom. Its space-group type is Fm-3m.

Cell and atoms, written as POSCAR:
```
Th2ZnTc
1.0
-1.4693 -3.8365 3.0453
3.3595 -3.6008 1.3784
1.6767 -0.2196 4.8262
Th Tc Zn
2 1 1
direct
0.2500 0.2500 0.2500
0.7500 0.7500 0.7500
0.0000 0.0000 0.0000
0.5000 0.5000 0.5000
```

(3)
KInRu: optimized geometry, PBE.

Computed properties:
The density of states at the Fermi level is 3.82 states/eV/f.u. The value obtained for the distance to the lowest polymorph of the same formula is 0.272 eV per atom. Its space-group type is P3m1.

Cell and atoms, written as POSCAR:
```
KInRu
1.0
-1.6752 2.6608 0.1346
-1.4431 -2.7834 0.2718
1.0221 0.2430 7.9153
In K Ru
1 1 1
direct
0.0000 0.0000 0.9560
0.6667 0.3333 0.3511
0.3333 0.6667 0.6928
```